HW4O12: relaxed, GGA+U.

* space-group type: I-42m
* energy: -0.524 Ry per atom

Lattice parameters (Å, degrees): 6.7048 6.7048 6.7048 109.60 109.60 109.22
Closest atoms and distances in Å follow each position.
Sites, in units of the cell vectors:
O1 0.7458 0.2484 0.0000  2 W 1.86-2.03
O2 0.5003 0.2482 0.2481  2 W 1.88-1.99
W1 0.5046 0.5046 0.4811  6 O 1.86-2.03
O3 0.2484 0.7458 0.0000  2 W 1.86-2.03
W2 0.9765 0.4954 0.0000  6 O 1.86-2.03
W3 0.0235 0.0235 0.5189  6 O 1.86-2.03
O4 0.2482 0.5003 0.2481  2 W 1.88-1.99
H1 0.0000 0.0000 0.0000  12 O 2.74-2.75
O5 0.2542 0.2542 0.5026  2 W 1.86-2.03
O6 0.7518 0.9999 0.2521  2 W 1.88-1.99
O7 0.7478 0.4997 0.7479  2 W 1.88-1.99
O8 0.2522 0.0001 0.7519  2 W 1.88-1.99
O9 0.7516 0.7516 0.4974  2 W 1.86-2.03
O10 0.4997 0.7478 0.7479  2 W 1.88-1.99
O11 0.9999 0.7518 0.2521  2 W 1.88-1.99
W4 0.4954 0.9765 0.0000  6 O 1.86-2.03
O12 0.0001 0.2522 0.7519  2 W 1.88-1.99